1.
# NaTiB

An optimized crystal structure of NaTiB (GGA-PBE, the Alexandria database).

N(E_F), states/eV per atom: 0.560
Total magnetization, μB per formula unit: 0.00

Unit cell a=3.1864 b=3.1861 c=10.8210 alpha=90.00 beta=90.28 gamma=90.00
Last column: nearest neighbours and their distance in Å.
Fractional coordinates of all 6 atoms:
Ti: 0.2516 0.2745 0.5936  5 B 2.27-2.28
Ti: 0.7484 0.7745 0.4064  5 B 2.27-2.28
B: 0.2479 0.2745 0.3829  5 Ti 2.27-2.28
B: 0.7521 0.7745 0.6171  5 Ti 2.27-2.28
Na: 0.7525 0.7772 0.8560  1 B 2.59
Na: 0.2475 0.2772 0.1440  1 B 2.59

2.
# Na2TiVB

An optimized crystal structure of Na2TiVB (GGA-PBE, the Alexandria database).

N(E_F), states/eV per atom: 1.049
Total magnetization, μB per formula unit: 2.21

Unit cell a=5.3809 b=4.3312 c=5.3809 alpha=90.00 beta=90.00 gamma=90.00
Last column: nearest neighbours and their distance in Å.
Fractional coordinates of all 5 atoms:
Ti: 0.0000 0.5000 0.0000  2 V 2.17
Na: 0.5000 0.0000 0.0000  2 V 2.69
Na: 0.0000 0.0000 0.5000  2 V 2.69
B: 0.5000 0.5000 0.5000  8 Na 3.45, 4 Ti 3.80
V: 0.0000 0.0000 0.0000  2 Ti 2.17

3.
# NaTl3B

An optimized crystal structure of NaTl3B (GGA-PBE, the Alexandria database).

N(E_F), states/eV per atom: 0.700
Total magnetization, μB per formula unit: 0.00

Unit cell a=5.5732 b=5.5732 c=5.5732 alpha=90.00 beta=90.00 gamma=90.00
Last column: nearest neighbours and their distance in Å.
Fractional coordinates of all 5 atoms:
Tl: 0.0000 0.5000 0.0000  2 Na 2.79
Tl: 0.0000 0.0000 0.5000  2 Na 2.79
Tl: 0.5000 0.0000 0.0000  2 Na 2.79
B: 0.5000 0.5000 0.5000  12 Tl 3.94
Na: 0.0000 0.0000 0.0000  6 Tl 2.79

4.
# NaTlB

An optimized crystal structure of NaTlB (GGA-PBE, the Alexandria database).

N(E_F), states/eV per atom: 0.230
Total magnetization, μB per formula unit: 0.00

Unit cell a=4.0848 b=5.6094 c=7.3121 alpha=53.38 beta=90.00 gamma=111.35
Last column: nearest neighbours and their distance in Å.
Fractional coordinates of all 6 atoms:
Tl: 0.7032 0.4064 0.7090  3 B 2.64-2.68
Tl: 0.2968 0.5936 0.2910  3 B 2.64-2.68
Na: 0.9265 0.8531 0.8271  4 B 2.86-3.06, 3 Tl 2.96-3.17
Na: 0.0735 0.1469 0.1729  4 B 2.86-3.06, 3 Tl 2.96-3.17
B: 0.4123 0.8245 0.5292  1 B 1.59
B: 0.5877 0.1755 0.4708  1 B 1.59

5.
# NaTl2B

An optimized crystal structure of NaTl2B (GGA-PBE, the Alexandria database).

N(E_F), states/eV per atom: 0.154
Total magnetization, μB per formula unit: 0.00

Unit cell a=7.3168 b=7.3168 c=7.2603 alpha=59.74 beta=59.74 gamma=90.00
Last column: nearest neighbours and their distance in Å.
Fractional coordinates of all 8 atoms:
B: 0.5000 0.5000 0.0000  4 Tl 2.23
B: 0.2500 0.7500 0.5000  4 Tl 2.23
Tl: 0.3770 0.6250 0.2500  2 B 2.23
Tl: 0.3750 0.6270 0.7500  2 B 2.23
Tl: 0.3730 0.1250 0.2500  2 B 2.23
Tl: 0.8750 0.6230 0.7500  2 B 2.23
Na: 0.0000 0.0000 0.0000  12 Tl 4.24-4.30, 4 Na 4.46, 4 B 4.46
Na: 0.7500 0.2500 0.5000  12 Tl 4.24-4.30, 4 Na 4.46, 4 B 4.46

6.
# NaTl2B

An optimized crystal structure of NaTl2B (GGA-PBE, the Alexandria database).

N(E_F), states/eV per atom: 0.094
Total magnetization, μB per formula unit: 0.00

Unit cell a=4.9912 b=4.9912 c=4.9912 alpha=60.00 beta=60.00 gamma=60.00
Last column: nearest neighbours and their distance in Å.
Fractional coordinates of all 4 atoms:
Tl: 0.7500 0.7500 0.7500  4 Na 3.06, 4 B 3.06
Tl: 0.2500 0.2500 0.2500  4 Na 3.06, 4 B 3.06
B: 0.0000 0.0000 0.0000  8 Tl 3.06
Na: 0.5000 0.5000 0.5000  8 Tl 3.06

no.,uncorrected energy (eV for the cell shown)
1,-31.8
2,-16.5
3,-8.5
4,-18.1
5,-20.1
6,-9.4